Material: Tl2VNiF
Method: DFT, PBE with a Hubbard U
State: optimized geometry

**Calculated density**: 8.5 g/cm3
**Electronic total energy**: -2.81 eV/atom
**N(E_F)**: 6.2 states/eV/cell
**Space-group type**: P4/mmm (123)

Cell lengths 5.402, 3.579, 5.402 Å; angles 90.00, 90.00, 90.00 degrees
Fractional coordinates of all 5 atoms:
Tl 0.500 0.000 0.000
Tl 0.000 0.000 0.500
Ni 0.000 0.000 0.000
F 0.000 0.500 0.000
V 0.500 0.500 0.500